Compound: ZnOsCl2
Source: Alexandria
Functional: PBE-GGA
Structure: relaxed

```
ZnOsCl2
1.0
-4.232 -0.334 2.656
-4.971 -0.540 -0.261
-1.762 -6.941 0.939
Zn Os Cl
1 1 2
direct
0.821 0.821 0.625
0.551 0.551 0.625
0.990 0.990 0.902
0.138 0.138 0.348
```

Properties
The calculation puts the energy above the most stable polymorph in this dataset at 152 meV/atom. Its space group is No. 8. The density of states at the Fermi level comes out at 0.933 states/eV per atom. As for the mass density: 5.6 Mg/m³. The value obtained for the formation energy from raw total energies is 0.570 eV per formula unit.

***

Compound: HfCrIn2
Source: Alexandria
Functional: PBE-GGA
Structure: relaxed

```
HfCrIn2
1.0
-1.340 3.383 6.707
-7.456 -1.428 -0.770
-4.055 -1.535 4.304
Cr Hf In
2 2 4
direct
0.500 0.500 0.000
0.250 0.750 0.500
0.000 0.000 0.000
0.750 0.250 0.500
0.595 0.125 0.250
0.155 0.625 0.250
0.375 0.405 0.750
0.875 0.845 0.750
```

Properties
The formation energy comes out at 230 kJ/mol of formula units. The calculation puts the energy above the most stable polymorph in this dataset at 473 meV/atom. Its space group is No. 122. The density of states at the Fermi level comes out at 1.062 states/eV per atom. As for the mass density: 9.2 Mg/m³.

***

Compound: Ti2ZnTcN
Source: Alexandria
Functional: PBE-GGA
Structure: relaxed

```
Ti2ZnTcN
1.0
4.898 0.000 0.000
0.000 3.791 0.000
0.000 0.000 4.898
Zn N Tc Ti
1 1 1 2
direct
0.500 0.500 0.500
0.000 0.500 0.000
0.000 0.000 0.000
0.000 0.000 0.500
0.500 0.000 0.000
```

Properties
Its space group is No. 123. The density of states at the Fermi level comes out at 1.008 states/eV per atom. As for the mass density: 5.0 Mg/m³. The value obtained for the formation energy from raw total energies is 3.103 eV per formula unit.

***

Compound: Rb2BaSnF
Source: Alexandria
Functional: PBE-GGA
Structure: relaxed

```
Rb2BaSnF
1.0
-0.446 0.973 5.443
1.262 -5.298 1.050
5.665 1.392 0.216
F Ba Rb Sn
1 1 2 1
direct
0.000 0.000 0.000
0.000 0.000 0.500
0.000 0.500 0.000
0.500 0.000 0.000
0.500 0.500 0.500
```

Properties
Its space group is No. 123. The density of states at the Fermi level comes out at 0.834 states/eV per atom. As for the mass density: 4.1 Mg/m³. The value obtained for the formation energy from raw total energies is -5.980 eV per formula unit.

***

What did the second record say?
Compound: HfCrIn2
Source: Alexandria
Functional: PBE-GGA
Structure: relaxed

```
HfCrIn2
1.0
-1.340 3.383 6.707
-7.456 -1.428 -0.770
-4.055 -1.535 4.304
Cr Hf In
2 2 4
direct
0.500 0.500 0.000
0.250 0.750 0.500
0.000 0.000 0.000
0.750 0.250 0.500
0.595 0.125 0.250
0.155 0.625 0.250
0.375 0.405 0.750
0.875 0.845 0.750
```

Properties
The formation energy comes out at 230 kJ/mol of formula units. The calculation puts the energy above the most stable polymorph in this dataset at 473 meV/atom. Its space group is No. 122. The density of states at the Fermi level comes out at 1.062 states/eV per atom. As for the mass density: 9.2 Mg/m³.